[1]
VASP calculation (PBE-GGA) on a geometry-optimized PuNpPbAu structure.

Results
**Volume**: 26.188 Å³/atom
**Total moment**: 10.18 Bohr magnetons per cell
**DFT formation energy**: 0.00 eV/atom
**Space-group type**: No. 216

abc: 5.291 5.291 5.291
angles: 60.00 60.00 60.00
Element x y z (fractional)
Pu 0.000 0.000 0.000
Np 0.500 0.500 0.500
Pb 0.750 0.750 0.750
Au 0.250 0.250 0.250


[2]
VASP calculation (PBE-GGA) on a geometry-optimized NpTlPbAu structure.

Results
**Volume**: 25.698 Å³/atom
**Total moment**: 4.33 Bohr magnetons per cell
**DFT formation energy**: 0.15 eV/atom
**Space-group type**: No. 216

abc: 5.258 5.258 5.258
angles: 60.00 60.00 60.00
Element x y z (fractional)
Np 0.000 0.000 0.000
Tl 0.250 0.250 0.250
Pb 0.500 0.500 0.500
Au 0.750 0.750 0.750


[3]
VASP calculation (PBE-GGA) on a geometry-optimized NpPdAu2 structure.

Results
**Volume**: 19.992 Å³/atom
**Total moment**: 4.03 Bohr magnetons per cell
**Offset from the most stable computed form**: 0.091 eV/atom
**DFT formation energy**: -0.13 eV/atom
**Space-group type**: No. 123

abc: 3.536 3.536 6.395
angles: 90.00 90.00 90.00
Element x y z (fractional)
Np 0.000 0.000 0.000
Pd 0.000 0.000 0.500
Au 0.500 0.500 0.278
Au 0.500 0.500 0.722


[4]
VASP calculation (PBE-GGA) on a geometry-optimized Np4Pd15Au structure.

Results
**Volume**: 17.418 Å³/atom
**Total moment**: 12.81 Bohr magnetons per cell
**DFT formation energy**: -0.38 eV/atom
**Space-group type**: No. 123

abc: 4.133 4.133 20.391
angles: 90.00 90.00 90.00
Element x y z (fractional)
Np 0.000 0.000 0.102
Np 0.000 0.000 0.308
Np 0.000 0.000 0.692
Np 0.000 0.000 0.898
Pd 0.000 0.500 0.000
Pd 0.000 0.500 0.204
Pd 0.000 0.500 0.402
Pd 0.000 0.500 0.598
Pd 0.000 0.500 0.796
Pd 0.500 0.000 0.000
Pd 0.500 0.000 0.204
Pd 0.500 0.000 0.402
Pd 0.500 0.000 0.598
Pd 0.500 0.000 0.796
Pd 0.500 0.500 0.102
Pd 0.500 0.500 0.302
Pd 0.500 0.500 0.500
Pd 0.500 0.500 0.698
Pd 0.500 0.500 0.898
Au 0.000 0.000 0.500